No. 1
Nd6Te3AsPb2 | PBE | optimized geometry Values from VASP.

Energy relative to the elements, uncorrected (eV per atom): -1.191
Total energy (eV for the cell shown): -64.394
SG: C2/m (12)

```
&SYSTEM
  ibrav = 0, nat = 12, ntyp = 4
/
ATOMIC_SPECIES
Nd 144.24 Nd.upf
Te 127.60 Te.upf
As 74.92 As.upf
Pb 207.20 Pb.upf
ATOMIC_POSITIONS crystal
Nd 0.0009 0.2311 0.0018
Nd 0.6587 0.0822 0.3173
Nd 0.9991 0.7689 0.9982
Nd 0.6672 0.5790 0.3344
Nd 0.3413 0.9178 0.6827
Nd 0.3328 0.4210 0.6656
Te 0.1680 0.8341 0.3359
Te 0.8320 0.1659 0.6641
Te 0.5000 0.5000 0.0000
As 0.5000 0.0000 0.0000
Pb 0.8341 0.6687 0.6681
Pb 0.1659 0.3313 0.3319
CELL_PARAMETERS angstrom
4.4924 0.0000 0.0000
0.0000 9.0186 0.3162
-2.2462 -2.6046 9.4564
```


No. 2
Nd4TeAs2Pb | PBE | optimized geometry Values from VASP.

Energy relative to the elements, uncorrected (eV per atom): -1.273
Total energy (eV for the cell shown): -45.408
SG: P2/m (10)

```
&SYSTEM
  ibrav = 0, nat = 8, ntyp = 4
/
ATOMIC_SPECIES
Nd 144.24 Nd.upf
Te 127.60 Te.upf
As 74.92 As.upf
Pb 207.20 Pb.upf
ATOMIC_POSITIONS crystal
Nd 0.5000 0.2266 0.7610
Nd 0.0000 0.7723 0.7411
Nd 0.5000 0.7734 0.2390
Nd 0.0000 0.2277 0.2589
Te 0.0000 0.5000 0.5000
As 0.5000 0.0000 0.5000
As 0.0000 0.0000 0.0000
Pb 0.5000 0.5000 0.0000
CELL_PARAMETERS angstrom
4.3172 0.0000 0.0000
0.0000 7.7368 -0.2371
0.0000 2.6430 7.1529
```


No. 3
Nd2As3Pd9 | PBE | optimized geometry Values from VASP.

Total energy (eV for the cell shown): -159.290
ΔH_f (0 K) (eV per atom): -0.673
SG: C2/c (15)

```
&SYSTEM
  ibrav = 0, nat = 28, ntyp = 3
/
ATOMIC_SPECIES
Pd 106.42 Pd.upf
Nd 144.24 Nd.upf
As 74.92 As.upf
ATOMIC_POSITIONS crystal
Pd 0.5359 0.0761 0.2535
Pd 0.2076 0.5129 0.5834
Pd 0.3226 0.2823 0.2465
Pd 0.4641 0.9239 0.7465
Pd 0.7879 0.3178 0.9275
Pd 0.8489 0.0085 0.0365
Pd 0.4720 0.8125 0.4635
Pd 0.5280 0.1875 0.5365
Pd 0.8859 0.1359 0.7500
Pd 0.6774 0.7177 0.7535
Pd 0.1511 0.9915 0.9635
Pd 0.1141 0.8641 0.2500
Pd 0.5705 0.3759 0.0834
Pd 0.1096 0.1396 0.4275
Pd 0.8904 0.8604 0.5725
Pd 0.2121 0.6822 0.0725
Pd 0.4295 0.6241 0.9166
Pd 0.7924 0.4871 0.4166
Nd 0.3393 0.2409 0.7523
Nd 0.9886 0.5870 0.7477
Nd 0.6607 0.7591 0.2477
Nd 0.0114 0.4130 0.2523
As 0.5000 0.0000 0.0000
As 0.8227 0.6519 0.9988
As 0.5000 0.5000 0.5000
As 0.1531 0.8238 0.5012
As 0.1773 0.3481 0.0012
As 0.8469 0.1762 0.4988
CELL_PARAMETERS angstrom
-2.0130 -7.1095 2.8618
7.4855 1.5190 -2.1085
0.6876 7.1720 7.2313
```


No. 4
NdAs2Pd6 | PBE | optimized geometry Values from VASP.

Total energy (eV for the cell shown): -49.067
ΔH_f (0 K) (eV per atom): -0.427
Polymorph energy (0 for the lowest one) (meV/atom): 88
SG: P6/mmm (191)

```
&SYSTEM
  ibrav = 0, nat = 9, ntyp = 3
/
ATOMIC_SPECIES
As 74.92 As.upf
Pd 106.42 Pd.upf
Nd 144.24 Nd.upf
ATOMIC_POSITIONS crystal
As 0.6667 0.3333 0.5000
As 0.3333 0.6667 0.5000
Pd 0.5001 0.5001 0.2116
Pd 0.4999 0.4999 0.7884
Pd 0.4999 0.0000 0.2116
Pd 0.5001 0.0000 0.7884
Pd 0.0000 0.5001 0.7884
Pd 0.0000 0.4999 0.2116
Nd 0.0000 0.0000 0.0000
CELL_PARAMETERS angstrom
-4.0816 -3.8854 0.3503
3.5910 -0.0627 -4.3566
4.0276 -3.9266 3.3764
```


No. 5
NdAs2Pd7 | PBE | optimized geometry Values from VASP.

Total energy (eV for the cell shown): -55.792
ΔH_f (0 K) (eV per atom): -0.537
Polymorph energy (0 for the lowest one) (meV/atom): 0
SG: I4/mmm (139)

```
&SYSTEM
  ibrav = 0, nat = 10, ntyp = 3
/
ATOMIC_SPECIES
Pd 106.42 Pd.upf
As 74.92 As.upf
Nd 144.24 Nd.upf
ATOMIC_POSITIONS crystal
Pd 0.2500 0.7500 0.5000
Pd 0.7500 0.2500 0.5000
Pd 0.3938 0.8938 0.7877
Pd 0.8938 0.3938 0.7877
Pd 0.6062 0.1062 0.2123
Pd 0.5000 0.5000 0.0000
Pd 0.1062 0.6062 0.2123
As 0.3244 0.3244 0.6487
As 0.6756 0.6756 0.3513
Nd 0.0000 0.0000 0.0000
CELL_PARAMETERS angstrom
-0.8141 -4.0972 -0.0210
0.5171 -0.0816 -4.1444
10.0766 0.1102 3.3604
```


No. 6
Nd3As4Pd4 | PBE | optimized geometry Values from VASP.

Total energy (eV for the cell shown): -65.066
ΔH_f (0 K) (eV per atom): -1.036
SG: Immm (71)

```
&SYSTEM
  ibrav = 0, nat = 11, ntyp = 3
/
ATOMIC_SPECIES
Nd 144.24 Nd.upf
As 74.92 As.upf
Pd 106.42 Pd.upf
ATOMIC_POSITIONS crystal
Nd 0.8701 0.8701 0.7401
Nd 0.1299 0.1299 0.2599
Nd 0.0000 0.5000 0.0000
As 0.7847 0.2847 0.5694
As 0.2153 0.7153 0.4306
As 0.5000 0.1947 0.0000
As 0.5000 0.8053 0.0000
Pd 0.6709 0.4732 0.3418
Pd 0.6709 0.8686 0.3418
Pd 0.3291 0.5268 0.6582
Pd 0.3291 0.1314 0.6582
CELL_PARAMETERS angstrom
4.3198 0.0000 0.0000
0.0000 7.1455 0.0000
-2.1599 -3.5728 7.1664
```


No. 7
NdAs2Pd7 | PBE | optimized geometry Values from VASP.

Total energy (eV for the cell shown): -53.924
ΔH_f (0 K) (eV per atom): -0.351
Polymorph energy (0 for the lowest one) (meV/atom): 187
SG: Cmmm (65)

```
&SYSTEM
  ibrav = 0, nat = 10, ntyp = 3
/
ATOMIC_SPECIES
Pd 106.42 Pd.upf
As 74.92 As.upf
Nd 144.24 Nd.upf
ATOMIC_POSITIONS crystal
Pd 0.5000 0.0588 0.3124
Pd 0.5000 0.5000 0.5000
Pd 0.5000 0.6876 0.9412
Pd 0.5000 0.3124 0.0588
Pd 0.0000 0.7650 0.2350
Pd 0.0000 0.2350 0.7650
Pd 0.5000 0.9412 0.6876
As 0.5000 0.3055 0.6945
As 0.5000 0.6945 0.3055
Nd 0.0000 0.0000 0.0000
CELL_PARAMETERS angstrom
-2.7268 -2.8581 2.2460
5.6214 -4.1173 1.5855
-1.6725 5.2086 4.5977
```


No. 8
Nd2As4Pd3 | PBE | optimized geometry Values from VASP.

Total energy (eV for the cell shown): -102.694
ΔH_f (0 K) (eV per atom): -0.848
SG: Cmce (64)

```
&SYSTEM
  ibrav = 0, nat = 18, ntyp = 3
/
ATOMIC_SPECIES
Pd 106.42 Pd.upf
As 74.92 As.upf
Nd 144.24 Nd.upf
ATOMIC_POSITIONS crystal
Pd 0.5332 0.7500 0.5665
Pd 0.0000 0.0000 0.0000
Pd 0.4668 0.2500 0.4335
Pd 0.9668 0.2500 0.4335
Pd 0.5000 0.5000 0.0000
Pd 0.0332 0.7500 0.5665
As 0.1851 0.9592 0.3702
As 0.6851 0.5408 0.3702
As 0.7013 0.7500 0.9026
As 0.2013 0.7500 0.9026
As 0.3149 0.4592 0.6298
As 0.7987 0.2500 0.0974
As 0.8149 0.0408 0.6298
As 0.2987 0.2500 0.0974
Nd 0.8838 0.4212 0.7675
Nd 0.1162 0.5788 0.2325
Nd 0.6162 0.9212 0.2325
Nd 0.3838 0.0788 0.7675
CELL_PARAMETERS angstrom
-0.7840 5.1819 2.7382
-7.5948 -1.5380 0.7362
1.7334 -5.9701 5.4097
```


No. 9
Nd2As2Pd3 | PBE | optimized geometry Values from VASP.

Total energy (eV for the cell shown): -40.964
ΔH_f (0 K) (eV per atom): -0.936
SG: C2/m (12)

```
&SYSTEM
  ibrav = 0, nat = 7, ntyp = 3
/
ATOMIC_SPECIES
Nd 144.24 Nd.upf
Pd 106.42 Pd.upf
As 74.92 As.upf
ATOMIC_POSITIONS crystal
Nd 0.1323 0.2645 0.7626
Nd 0.8677 0.7355 0.2374
Pd 0.3797 0.7594 0.5646
Pd 0.5000 0.0000 0.0000
Pd 0.6203 0.2406 0.4354
As 0.8470 0.6940 0.7857
As 0.1530 0.3060 0.2143
CELL_PARAMETERS angstrom
4.1579 0.0000 0.0000
-2.0790 5.2087 -0.1791
0.0000 -2.6167 6.6218
```


No. 10
NdAs3Pd5 | PBE | optimized geometry Values from VASP.

Total energy (eV for the cell shown): -99.853
ΔH_f (0 K) (eV per atom): -0.583
SG: Cmcm (63)

```
&SYSTEM
  ibrav = 0, nat = 18, ntyp = 3
/
ATOMIC_SPECIES
Pd 106.42 Pd.upf
As 74.92 As.upf
Nd 144.24 Nd.upf
ATOMIC_POSITIONS crystal
Pd 0.5623 0.1246 0.6429
Pd 0.7921 0.5843 0.0738
Pd 0.4377 0.8754 0.1429
Pd 0.2079 0.4157 0.5738
Pd 0.2079 0.4157 0.9262
Pd 0.0000 0.0000 0.0000
Pd 0.0000 0.0000 0.5000
Pd 0.7921 0.5843 0.4262
Pd 0.4377 0.8754 0.3571
Pd 0.5623 0.1246 0.8571
As 0.6132 0.2265 0.0542
As 0.3868 0.7735 0.5542
As 0.3868 0.7735 0.9458
As 0.1279 0.2557 0.7500
As 0.6132 0.2265 0.4458
As 0.8721 0.7443 0.2500
Nd 0.1295 0.2589 0.2500
Nd 0.8705 0.7411 0.7500
CELL_PARAMETERS angstrom
-1.6121 -0.6670 3.5438
0.3367 -6.1725 -3.2099
11.5329 -1.9122 4.8867
```


No. 11
NdAs2Pd3 | PBE | optimized geometry Values from VASP.

Total energy (eV for the cell shown): -103.632
ΔH_f (0 K) (eV per atom): -0.816
Polymorph energy (0 for the lowest one) (meV/atom): 0
SG: C2/m (12)

```
&SYSTEM
  ibrav = 0, nat = 18, ntyp = 3
/
ATOMIC_SPECIES
Pd 106.42 Pd.upf
As 74.92 As.upf
Nd 144.24 Nd.upf
ATOMIC_POSITIONS crystal
Pd 0.0422 0.0422 0.6662
Pd 0.5000 0.5000 0.5000
Pd 0.6251 0.6251 0.7980
Pd 0.6794 0.6794 0.0335
Pd 0.3749 0.3749 0.2020
Pd 0.3206 0.3206 0.9665
Pd 0.2202 0.2202 0.6089
Pd 0.7798 0.7798 0.3911
Pd 0.9578 0.9578 0.3338
As 0.8005 0.8005 0.1312
As 0.3634 0.3634 0.4537
As 0.6366 0.6366 0.5463
As 0.4624 0.4624 0.7875
As 0.5376 0.5376 0.2125
As 0.1995 0.1995 0.8688
Nd 0.1536 0.1536 0.3005
Nd 0.0000 0.0000 0.0000
Nd 0.8464 0.8464 0.6995
CELL_PARAMETERS angstrom
-1.0618 -0.2557 8.5767
2.8612 -1.4948 8.0207
3.3054 8.8020 3.7047
```


No. 12
Nd2AsPd3 | PBE | optimized geometry Values from VASP.

Total energy (eV for the cell shown): -70.318
ΔH_f (0 K) (eV per atom): -0.899
SG: Fmmm (69)

```
&SYSTEM
  ibrav = 0, nat = 12, ntyp = 3
/
ATOMIC_SPECIES
As 74.92 As.upf
Nd 144.24 Nd.upf
Pd 106.42 Pd.upf
ATOMIC_POSITIONS crystal
As 0.3346 0.3346 0.6691
As 0.6654 0.6654 0.3309
Nd 0.2447 0.7553 0.0000
Nd 0.7553 0.2447 0.0000
Nd 0.2500 0.7500 0.5000
Nd 0.7500 0.2500 0.5000
Pd 0.1745 0.1745 0.3491
Pd 0.6578 0.6578 0.8294
Pd 0.8255 0.8255 0.6509
Pd 0.8284 0.8284 0.1706
Pd 0.1716 0.1716 0.8294
Pd 0.3422 0.3422 0.1706
CELL_PARAMETERS angstrom
-5.2892 -2.3088 0.9657
1.2783 -2.9468 4.8910
0.0616 8.8654 1.3378
```


No. 13
Nd2As4Pd5 | PBE | optimized geometry Values from VASP.

Total energy (eV for the cell shown): -61.363
ΔH_f (0 K) (eV per atom): -0.660
SG: Fmmm (69)

```
&SYSTEM
  ibrav = 0, nat = 11, ntyp = 3
/
ATOMIC_SPECIES
As 74.92 As.upf
Nd 144.24 Nd.upf
Pd 106.42 Pd.upf
ATOMIC_POSITIONS crystal
As 0.4797 0.3011 0.7394
As 0.7809 0.6989 0.7394
As 0.2191 0.3011 0.2606
As 0.5203 0.6989 0.2606
Nd 0.8596 0.0000 0.2808
Nd 0.1404 0.0000 0.7192
Pd 0.7500 0.5000 0.5000
Pd 0.2500 0.5000 0.5000
Pd 0.5000 0.0000 0.0000
Pd 0.5000 0.5000 0.0000
Pd 0.0000 0.5000 0.0000
CELL_PARAMETERS angstrom
-5.7292 0.0469 -0.8449
-3.5078 -2.5549 3.7961
-3.3835 6.4984 3.4558
```


No. 14
NdAs3Pd4 | PBE | optimized geometry Values from VASP.

Total energy (eV for the cell shown): -44.646
ΔH_f (0 K) (eV per atom): -0.645
SG: P4/mmm (123)

```
&SYSTEM
  ibrav = 0, nat = 8, ntyp = 3
/
ATOMIC_SPECIES
Nd 144.24 Nd.upf
As 74.92 As.upf
Pd 106.42 Pd.upf
ATOMIC_POSITIONS crystal
Nd 0.0000 0.0000 0.5000
As 0.5000 0.5000 0.3455
As 0.0000 0.0000 0.0000
As 0.5000 0.5000 0.6545
Pd 0.0000 0.5000 0.1796
Pd 0.0000 0.5000 0.8204
Pd 0.5000 0.0000 0.8204
Pd 0.5000 0.0000 0.1796
CELL_PARAMETERS angstrom
4.2914 0.0000 0.0000
0.0000 4.2914 0.0000
0.0000 0.0000 8.1093
```


No. 15
Nd3As3Pd2 | PBE | optimized geometry Values from VASP.

Total energy (eV for the cell shown): -94.978
ΔH_f (0 K) (eV per atom): -1.106
SG: Cmcm (63)

```
&SYSTEM
  ibrav = 0, nat = 16, ntyp = 3
/
ATOMIC_SPECIES
As 74.92 As.upf
Pd 106.42 Pd.upf
Nd 144.24 Nd.upf
ATOMIC_POSITIONS crystal
As 0.6465 0.2931 0.7500
As 0.3775 0.7549 0.9524
As 0.3535 0.7069 0.2500
As 0.6225 0.2451 0.4524
As 0.6225 0.2451 0.0476
As 0.3775 0.7549 0.5476
Pd 0.2220 0.4439 0.0999
Pd 0.7780 0.5561 0.5999
Pd 0.7780 0.5561 0.9001
Pd 0.2220 0.4439 0.4001
Nd 0.9223 0.8446 0.3928
Nd 0.3574 0.7149 0.7500
Nd 0.0777 0.1554 0.6072
Nd 0.9223 0.8446 0.1072
Nd 0.0777 0.1554 0.8928
Nd 0.6426 0.2851 0.2500
CELL_PARAMETERS angstrom
4.3175 0.0000 0.0000
-2.1587 5.5861 0.0000
0.0000 0.0000 14.7715
```


No. 16
NdAs2Pd8 | PBE | optimized geometry Values from VASP.

Total energy (eV for the cell shown): -57.745
ΔH_f (0 K) (eV per atom): -0.194
SG: P4/mmm (123)

```
&SYSTEM
  ibrav = 0, nat = 11, ntyp = 3
/
ATOMIC_SPECIES
As 74.92 As.upf
Pd 106.42 Pd.upf
Nd 144.24 Nd.upf
ATOMIC_POSITIONS crystal
As 0.5000 0.0000 0.0000
As 0.0000 0.5000 0.0000
Pd 0.2456 0.7544 0.7913
Pd 0.2456 0.2456 0.7913
Pd 0.7544 0.7544 0.7913
Pd 0.7544 0.2456 0.7913
Pd 0.2456 0.7544 0.2087
Pd 0.2456 0.2456 0.2087
Pd 0.7544 0.2456 0.2087
Pd 0.7544 0.7544 0.2087
Nd 0.5000 0.5000 0.5000
CELL_PARAMETERS angstrom
5.6151 0.0000 0.0000
0.0000 5.6151 0.0000
0.0000 0.0000 7.3323
```


No. 17
Nd3As2Pd5 | PBE | optimized geometry Values from VASP.

Total energy (eV for the cell shown): -114.004
ΔH_f (0 K) (eV per atom): -0.744
SG: Ibam (72)

```
&SYSTEM
  ibrav = 0, nat = 20, ntyp = 3
/
ATOMIC_SPECIES
Pd 106.42 Pd.upf
As 74.92 As.upf
Nd 144.24 Nd.upf
ATOMIC_POSITIONS crystal
Pd 0.8674 0.4874 0.7778
Pd 0.6326 0.2222 0.5126
Pd 0.1326 0.5126 0.2222
Pd 0.2500 0.5000 0.5000
Pd 0.3674 0.7778 0.4874
Pd 0.7500 0.5000 0.5000
Pd 0.5031 0.2469 0.2469
Pd 0.0031 0.2469 0.2469
Pd 0.9969 0.7531 0.7531
Pd 0.4969 0.7531 0.7531
As 0.1372 0.7082 0.0174
As 0.6372 0.0174 0.7082
As 0.8628 0.2918 0.9826
As 0.3628 0.9826 0.2918
Nd 0.3829 0.4179 0.8163
Nd 0.1171 0.1837 0.5821
Nd 0.8829 0.8163 0.4179
Nd 0.2500 0.0000 0.0000
Nd 0.6171 0.5821 0.1837
Nd 0.7500 0.0000 0.0000
CELL_PARAMETERS angstrom
-2.2155 -1.8786 -5.2688
3.9446 -7.7519 -2.3298
-7.2633 -5.1221 1.4454
```


No. 18
Nd2AsPd | PBE | optimized geometry Values from VASP.

Total energy (eV for the cell shown): -22.875
ΔH_f (0 K) (eV per atom): -0.874
Polymorph energy (0 for the lowest one) (meV/atom): 100
SG: Fm-3m (225)

```
&SYSTEM
  ibrav = 0, nat = 4, ntyp = 3
/
ATOMIC_SPECIES
Nd 144.24 Nd.upf
As 74.92 As.upf
Pd 106.42 Pd.upf
ATOMIC_POSITIONS crystal
Nd 0.2500 0.2500 0.2500
Nd 0.7500 0.7500 0.7500
As 0.0000 0.0000 0.0000
Pd 0.5000 0.5000 0.5000
CELL_PARAMETERS angstrom
5.1639 0.0000 0.0000
2.5819 4.4721 0.0000
2.5819 1.4907 4.2186
```


No. 19
NdAs2Pd3 | PBE | optimized geometry Values from VASP.

Total energy (eV for the cell shown): -67.031
ΔH_f (0 K) (eV per atom): -0.645
Polymorph energy (0 for the lowest one) (meV/atom): 171
SG: Pmmn (59)

```
&SYSTEM
  ibrav = 0, nat = 12, ntyp = 3
/
ATOMIC_SPECIES
Pd 106.42 Pd.upf
As 74.92 As.upf
Nd 144.24 Nd.upf
ATOMIC_POSITIONS crystal
Pd 0.6645 0.0000 0.2369
Pd 0.6645 0.0000 0.7631
Pd 0.5141 0.5000 0.0000
Pd 0.4859 0.0000 0.5000
Pd 0.3355 0.5000 0.2631
Pd 0.3355 0.5000 0.7369
As 0.1618 0.0000 0.3224
As 0.8382 0.5000 0.1776
As 0.1618 0.0000 0.6776
As 0.8382 0.5000 0.8224
Nd 0.8866 0.5000 0.5000
Nd 0.1134 0.0000 0.0000
CELL_PARAMETERS angstrom
4.9051 0.0000 0.0000
0.0000 4.6231 0.0000
0.0000 0.0000 10.3800
```


No. 20
Nd2AsPd | PBE | optimized geometry Values from VASP.

Total energy (eV for the cell shown): -23.273
ΔH_f (0 K) (eV per atom): -0.974
Polymorph energy (0 for the lowest one) (meV/atom): 0
SG: R3m (160)

```
&SYSTEM
  ibrav = 0, nat = 4, ntyp = 3
/
ATOMIC_SPECIES
Pd 106.42 Pd.upf
Nd 144.24 Nd.upf
As 74.92 As.upf
ATOMIC_POSITIONS crystal
Pd 0.5007 0.5007 0.4978
Nd 0.0805 0.0805 0.7586
Nd 0.2530 0.2530 0.2410
As 0.6658 0.6658 0.0026
CELL_PARAMETERS angstrom
4.1696 0.0000 0.0000
2.0848 3.6110 0.0000
2.0848 1.2037 7.2862
```


no.,theoretical density (g cm⁻³),calculated volume (Å³ per cell)
1,7.46,387
2,7.30,242
3,9.90,493
4,8.55,181
5,9.69,178
6,8.69,221
7,8.38,206
8,8.51,354
9,8.89,141
10,8.95,334
11,9.12,335
12,8.57,265
13,8.52,218
14,8.84,149
15,8.11,356
16,8.23,231
17,8.54,433
18,8.01,97
19,8.65,235
20,7.11,110